The following is a PBE calculation of a geometry-optimized Cd2InHgRh structure, from Alexandria.

Values from the calculation:
The crystal system is tetragonal. The theoretical density comes out at 7.56 g/cm3. As for the space-group type: P4/mmm. The total energy comes out at -2.425 eV per atom. For the total magnetic moment, the calculation gives 0.00 μB per cell. Its energy of formation is 0.020 eV per atom.

Cell: 5.2432 5.2432 5.1410 Å, 90.00 90.00 90.00°
With the nearest neighbours (Å) after each atom.
Positions (direct):
Rh: 0.0000 0.0000 0.0000  2 In 2.57, 4 Cd 2.62
Hg: 0.5000 0.5000 0.5000  8 Cd 3.67, 4 In 3.71
Cd: 0.0000 0.5000 0.0000  2 Rh 2.62
Cd: 0.5000 0.0000 0.0000  2 Rh 2.62
In: 0.0000 0.0000 0.5000  2 Rh 2.57